AlCd2Re | SCAN | single point on PBEsol structure

Cell lengths 2.7673, 4.8049, 5.3517 Å; angles 96.29, 104.98, 90.00 degrees
Closest atoms and distances in Å follow each position.
Positions (direct):
Cd  0.7367  0.7440  0.4734  6 Cd 2.76-2.81, 1 Al 2.86, 3 Re 2.94-3.08
Cd  0.2633  0.2560  0.5266  6 Cd 2.76-2.81, 1 Al 2.86, 3 Re 2.94-3.08
Re  0.0000  0.5000  0.0000  2 Re 2.77, 4 Al 2.77, 6 Cd 2.94-3.08
Al  0.5000  0.0000  0.0000  2 Al 2.77, 4 Re 2.77, 2 Cd 2.86

Properties
energy of formation from the pure elements = 0.304 eV/atom
uncorrected energy = -138.5 eV for the cell shown
D(E_F) = 1.78 states/eV per cell
calculated density = 10.6 g/cm³



ErNbRu2 | SCAN | single point on PBEsol structure

Cell lengths 4.5510, 4.5510, 4.5510 Å; angles 60.00, 60.00, 60.00 degrees
Closest atoms and distances in Å follow each position.
Positions (direct):
Er  0.5000  0.5000  0.5000  8 Ru 2.79
Ru  0.7500  0.7500  0.7500  4 Nb 2.79, 4 Er 2.79
Ru  0.2500  0.2500  0.2500  4 Nb 2.79, 4 Er 2.79
Nb  0.0000  0.0000  0.0000  8 Ru 2.79

Properties
energy of formation from the pure elements = -0.479 eV/atom
uncorrected energy = -155.0 eV for the cell shown
D(E_F) = 0.59 states/eV per cell
calculated density = 11.5 g/cm³



FeTeAs2 | SCAN | single point on PBEsol structure

Cell lengths 5.8829, 5.8829, 6.7873 Å; angles 115.68, 115.68, 90.00 degrees
Closest atoms and distances in Å follow each position.
Positions (direct):
As  0.6250  0.5332  0.7500  2 Fe 2.20
As  0.1250  0.2168  0.7500  2 Fe 2.20
As  0.4668  0.8750  0.2500  2 Fe 2.20
As  0.7832  0.3750  0.2500  2 Fe 2.20
Te  0.2500  0.7500  0.5000  4 As 2.83
Te  0.0000  0.0000  0.0000  4 As 2.83
Fe  0.5000  0.5000  0.0000  4 As 2.20
Fe  0.7500  0.2500  0.5000  4 As 2.20

Properties
uncorrected energy = -189.3 eV for the cell shown
D(E_F) = 3.53 states/eV per cell
calculated density = 6.0 g/cm³



YTaOF2 | SCAN | single point on PBEsol structure

Cell lengths 4.2537, 4.2537, 4.5220 Å; angles 90.00, 90.00, 90.00 degrees
Closest atoms and distances in Å follow each position.
Positions (direct):
Y  0.0000  0.0000  0.0000  4 F 2.13, 2 O 2.26
O  0.0000  0.0000  0.5000  2 Y 2.26
F  0.0000  0.5000  0.0000  2 Y 2.13
F  0.5000  0.0000  0.0000  2 Y 2.13
Ta  0.5000  0.5000  0.5000  4 O 3.01, 8 F 3.10

Properties
energy above the lowest structure with this stoichiometry = 64.1 meV/atom
uncorrected energy = -116.4 eV for the cell shown
D(E_F) = 2.66 states/eV per cell
calculated density = 6.6 g/cm³



Hg4W | SCAN | single point on PBEsol structure

Cell lengths 2.9277, 6.2298, 6.2298 Å; angles 86.83, 76.41, 76.41 degrees
Closest atoms and distances in Å follow each position.
Positions (direct):
W  0.0000  0.0000  0.0000  8 Hg 2.81, 2 W 2.93
Hg  0.2193  0.2811  0.2802  2 W 2.81, 6 Hg 2.93-3.03
Hg  0.5005  0.2802  0.7189  2 W 2.81, 6 Hg 2.93-3.03
Hg  0.7807  0.7189  0.7198  2 W 2.81, 6 Hg 2.93-3.03
Hg  0.4995  0.7198  0.2811  2 W 2.81, 6 Hg 2.93-3.03

Properties
energy of formation from the pure elements = 0.581 eV/atom
uncorrected energy = -339.4 eV for the cell shown
D(E_F) = 2.57 states/eV per cell
calculated density = 15.3 g/cm³



Sr2CaSn5 | SCAN | single point on PBEsol structure

Cell lengths 6.6898, 6.6898, 10.6021 Å; angles 90.00, 90.00, 102.58 degrees
Closest atoms and distances in Å follow each position.
Positions (direct):
Sn  0.9911  0.5840  0.2500  3 Sn 3.01-3.02, 1 Ca 3.32, 2 Sr 3.34
Sn  0.8147  0.8147  0.4506  4 Sn 3.02-3.27, 1 Ca 3.19
Sn  0.1853  0.1853  0.5494  4 Sn 3.02-3.27, 1 Ca 3.19
Sn  0.4676  0.4676  0.7500  4 Sn 3.01-3.18, 1 Ca 3.26
Sn  0.4160  0.0089  0.7500  3 Sn 3.01-3.02, 1 Ca 3.32, 2 Sr 3.34
Sn  0.5324  0.5324  0.2500  4 Sn 3.01-3.18, 1 Ca 3.26
Sn  0.5840  0.9911  0.2500  3 Sn 3.01-3.02, 1 Ca 3.32, 2 Sr 3.34
Sn  0.8147  0.8147  0.0494  4 Sn 3.02-3.27, 1 Ca 3.19
Sn  0.1853  0.1853  0.9506  4 Sn 3.02-3.27, 1 Ca 3.19
Sn  0.0089  0.4160  0.7500  3 Sn 3.01-3.02, 1 Ca 3.32, 2 Sr 3.34
Sr  0.7033  0.2967  0.5000  10 Sn 3.34-3.58
Sr  0.7033  0.2967  0.0000  10 Sn 3.34-3.58
Sr  0.2967  0.7033  0.5000  10 Sn 3.34-3.58
Sr  0.2967  0.7033  0.0000  10 Sn 3.34-3.58
Ca  0.1431  0.1431  0.2500  7 Sn 3.19-3.47
Ca  0.8569  0.8569  0.7500  7 Sn 3.19-3.47

Properties
energy of formation from the pure elements = -0.627 eV/atom
uncorrected energy = -477.7 eV for the cell shown
D(E_F) = 6.23 states/eV per cell
calculated density = 5.8 g/cm³



RuAuNF2 | SCAN | single point on PBEsol structure

Cell lengths 3.6860, 4.5234, 4.5234 Å; angles 90.00, 90.00, 90.00 degrees
Closest atoms and distances in Å follow each position.
Positions (direct):
Ru  0.5000  0.5000  0.5000  8 F 2.92, 4 N 3.20
F  0.0000  0.0000  0.5000  2 Au 2.26
F  0.0000  0.5000  0.0000  2 Au 2.26
Au  0.0000  0.0000  0.0000  2 N 1.84
N  0.5000  0.0000  0.0000  2 Au 1.84

Properties
uncorrected energy = -116.9 eV for the cell shown
D(E_F) = 2.27 states/eV per cell
calculated density = 7.7 g/cm³



LaYPd2 | SCAN | single point on PBEsol structure

Cell lengths 5.0095, 5.0095, 5.0095 Å; angles 60.00, 60.00, 60.00 degrees
Closest atoms and distances in Å follow each position.
Positions (direct):
Pd  0.2500  0.2500  0.2500  4 La 3.07, 4 Y 3.07
Pd  0.7500  0.7500  0.7500  4 Y 3.07, 4 La 3.07
La  0.5000  0.5000  0.5000  8 Pd 3.07
Y  0.0000  0.0000  0.0000  8 Pd 3.07

Properties
energy of formation from the pure elements = -0.872 eV/atom
uncorrected energy = -140.0 eV for the cell shown
D(E_F) = 2.41 states/eV per cell
calculated density = 8.2 g/cm³



AlCr2Ru | SCAN | single point on PBEsol structure

Cell lengths 2.6160, 2.6160, 8.0109 Å; angles 90.00, 90.00, 113.34 degrees
Closest atoms and distances in Å follow each position.
Positions (direct):
Al  0.5000  0.5000  0.2464  2 Ru 2.53, 2 Cr 2.54, 4 Al 2.62
Cr  0.0000  0.0000  0.9848  2 Cr 2.29, 2 Al 2.54
Cr  0.5000  0.5000  0.7621  2 Cr 2.29, 2 Ru 2.50
Ru  0.0000  0.0000  0.5066  2 Cr 2.50, 2 Al 2.53, 4 Ru 2.62

Properties
energy of formation from the pure elements = 0.005 eV/atom
uncorrected energy = -79.3 eV for the cell shown
D(E_F) = 3.47 states/eV per cell
calculated density = 7.7 g/cm³



BaAu2 | SCAN | single point on PBEsol structure

Cell lengths 4.4471, 4.4471, 9.0840 Å; angles 104.17, 104.17, 90.00 degrees
Closest atoms and distances in Å follow each position.
Positions (direct):
Au  0.5792  0.5792  0.1585  3 Au 2.70-2.72
Au  0.6708  0.1708  0.3415  3 Au 2.70-2.72
Au  0.8292  0.3292  0.6585  3 Au 2.70-2.72
Au  0.4208  0.4208  0.8415  3 Au 2.70-2.72
Ba  0.0000  0.0000  0.0000  12 Au 3.42-3.66
Ba  0.2500  0.7500  0.5000  12 Au 3.42-3.66

Properties
energy of formation from the pure elements = -0.875 eV/atom
uncorrected energy = -361.0 eV for the cell shown
D(E_F) = 1.95 states/eV per cell
calculated density = 10.5 g/cm³



Fe2SiCl | SCAN | single point on PBEsol structure

Cell lengths 4.0625, 4.0625, 4.0625 Å; angles 60.00, 60.00, 60.00 degrees
Closest atoms and distances in Å follow each position.
Positions (direct):
Si  0.5000  0.5000  0.5000  8 Fe 2.49
Fe  0.2500  0.2500  0.2500  4 Cl 2.49, 4 Si 2.49
Fe  0.7500  0.7500  0.7500  4 Cl 2.49, 4 Si 2.49
Cl  0.0000  0.0000  0.0000  8 Fe 2.49

Properties
energy above the lowest structure with this stoichiometry = 474.6 meV/atom
uncorrected energy = -51.7 eV for the cell shown
D(E_F) = 4.16 states/eV per cell
calculated density = 6.1 g/cm³



CoOs3 | SCAN | single point on PBEsol structure

Cell lengths 2.6955, 4.1985, 4.6275 Å; angles 90.00, 90.00, 90.00 degrees
Closest atoms and distances in Å follow each position.
Positions (direct):
Os  0.5000  0.0000  0.5053  8 Os 2.62-2.70, 4 Co 2.64-2.71
Os  0.0000  0.5000  0.3210  2 Co 2.58, 10 Os 2.59-2.77
Os  0.5000  0.5000  0.8439  8 Os 2.59-2.77, 4 Co 2.59
Co  0.0000  0.0000  0.9964  10 Os 2.58-2.71, 2 Co 2.70

Properties
energy of formation from the pure elements = 0.127 eV/atom
uncorrected energy = -232.4 eV for the cell shown
D(E_F) = 2.79 states/eV per cell
calculated density = 20.0 g/cm³